1.
Computed, not measured: crystalline PmSc3Hg2 at its relaxed geometry at the GGA-PBE level of DFT.

```
PmSc3Hg2
1.0
4.887 0.000 0.000
0.000 8.843 0.000
0.000 0.000 6.847
Pm Sc Hg
2 6 4
Cartesian
0.000 0.463 0.000
0.000 8.380 3.424
0.000 2.943 4.504
0.000 5.900 1.081
2.444 1.665 2.139
2.444 3.962 6.638
2.444 4.881 3.214
2.444 7.178 5.563
0.000 3.149 1.609
0.000 5.694 5.033
2.444 1.382 5.037
2.444 7.460 1.613
```

Calculated values
* D(E_F): 7.46 states/eV/cell
* total moment: 0.000 μB/atom
* ΔH_f (0 K): -0.3206 eV/atom
* ΔE to the lowest computed polymorph: 0.000 eV/atom

2.
Computed, not measured: crystalline NdMg2Cd2In2 at its relaxed geometry at the GGA-PBE level of DFT.

```
NdMg2Cd2In2
1.0
2.439 1.408 8.348
-2.439 1.408 8.348
0.000 -2.817 8.348
Nd Mg Cd In
1 2 2 2
Cartesian
0.000 0.000 0.000
0.000 0.000 3.474
0.000 0.000 21.571
0.000 0.000 10.728
0.000 0.000 14.317
0.000 0.000 6.608
0.000 0.000 18.437
```

Calculated values
* D(E_F): 2.81 states/eV/cell
* total moment: 0.000 μB/atom
* ΔH_f (0 K): -0.2302 eV/atom

3.
Computed, not measured: crystalline Cd2CoP at its relaxed geometry at the GGA-PBE level of DFT.

```
Cd2CoP
1.0
4.149 0.000 0.000
0.000 3.402 0.000
-1.929 0.000 4.991
Cd Co P
2 1 1
Cartesian
0.000 0.000 0.000
0.068 1.701 3.107
2.153 0.000 2.220
2.093 1.701 0.951
```

Calculated values
* D(E_F): 2.28 states/eV/cell
* total moment: 0.000 μB/atom
* ΔH_f (0 K): 0.0326 eV/atom

4.
Computed, not measured: crystalline YTlGa2 at its relaxed geometry at the GGA-PBE level of DFT.

```
YTlGa2
1.0
4.527 0.000 0.000
0.000 4.527 0.000
0.000 0.000 4.351
Y Tl Ga
1 1 2
Cartesian
0.000 0.000 0.000
2.264 2.264 0.000
0.000 2.264 2.175
2.264 0.000 2.175
```

Calculated values
* D(E_F): 1.79 states/eV/cell
* total moment: 0.000 μB/atom
* ΔH_f (0 K): -0.3836 eV/atom
* ΔE to the lowest computed polymorph: 0.000 eV/atom

- What is the formula in the third record?
  Cd2CoP

- Which of these has the lowest D(E_F)?
  YTlGa2

- D(E_F) of number 1 (PmSc3Hg2)?
  7.46 states/eV/cell

- Number 1 is which compound?
  PmSc3Hg2